VASP calculation (PBE-GGA) on an optimized crystal structure of BaCaOs2.

calculated volume = 117.29 Å³ per cell
energy above the most stable polymorph in this dataset = 273 meV/atom
energy = -6.146 eV per atom
total moment = 0.00 μB/f.u.
space-group type = Imm2 (44)
formation energy = 0.449 eV/atom

a = 6.5591 Å, b = 6.5591 Å, c = 6.5591 Å
α = 143.33°, β = 135.37°, γ = 59.08°
With the nearest neighbours (Å) after each atom.
Sites, in units of the cell vectors:
Os 0.8059 0.3059 0.5000  2 Os 2.35
Ca 0.2625 0.7625 0.5000  6 Os 2.97-3.27
Ba 0.5273 0.5273 0.0000  8 Os 3.53-3.79, 4 Ca 3.66
Os 0.9043 0.9043 0.0000  2 Os 2.35

VASP calculation (PBE-GGA) on an optimized crystal structure of Ba2CaOs.

calculated volume = 145.80 Å³ per cell
energy above the most stable polymorph in this dataset = 121 meV/atom
energy = -3.724 eV per atom
total moment = 0.00 μB/f.u.
space-group type = P4mm (99)
formation energy = 0.545 eV/atom

a = 3.9680 Å, b = 3.9680 Å, c = 9.2605 Å
α = 90.00°, β = 90.00°, γ = 90.00°
With the nearest neighbours (Å) after each atom.
Sites, in units of the cell vectors:
Ba 0.0000 0.0000 0.9155  1 Ca 3.16, 4 Os 3.49
Os 0.5000 0.5000 0.6911  4 Ca 3.01
Ba 0.5000 0.5000 0.3193  1 Os 3.44, 4 Ca 3.67
Ca 0.0000 0.0000 0.5741  4 Os 3.01, 1 Ba 3.16

Look up the energy above the most stable polymorph in this dataset of the second one.
121 meV/atom

Copy entry 2 word for word.
VASP calculation (PBE-GGA) on an optimized crystal structure of Ba2CaOs.

calculated volume = 145.80 Å³ per cell
energy above the most stable polymorph in this dataset = 121 meV/atom
energy = -3.724 eV per atom
total moment = 0.00 μB/f.u.
space-group type = P4mm (99)
formation energy = 0.545 eV/atom

a = 3.9680 Å, b = 3.9680 Å, c = 9.2605 Å
α = 90.00°, β = 90.00°, γ = 90.00°
With the nearest neighbours (Å) after each atom.
Sites, in units of the cell vectors:
Ba 0.0000 0.0000 0.9155  1 Ca 3.16, 4 Os 3.49
Os 0.5000 0.5000 0.6911  4 Ca 3.01
Ba 0.5000 0.5000 0.3193  1 Os 3.44, 4 Ca 3.67
Ca 0.0000 0.0000 0.5741  4 Os 3.01, 1 Ba 3.16